The following is a DFT calculation (PBE-GGA) of a geometry-optimized La2NdCd2Hg2 structure.

## Properties
As for the electronic total energy: -2.7478 eV per atom. Its crystal system is trigonal. The value obtained for the energy of formation is -30 kJ per mole of atoms. The calculation puts the mass density at 8.70 g cm⁻³.

Cell: 5.0291 5.0291 27.4136 Å, 90.00 90.00 120.00°
Space group R-3m (No. 166, hexagonal axes)
Inequivalent atoms, fractional coordinates:
La1 0.0000 0.0000 0.1264 (multiplicity 6)
Nd1 0.0000 0.0000 0.0000 (multiplicity 3)
Cd1 0.0000 0.0000 0.2633 (multiplicity 6)
Hg1 0.0000 0.0000 0.3951 (multiplicity 6)